Sr2Ni3HgF12 after structural relaxation, computed with GGA+U.

Calculated values
Total magnetic moment (μB per formula unit): 6.0
E_tot (eV per atom): -4.418

Structure (CIF):
```
data_Sr2Ni3HgF12
_chemical_formula_sum 'Sr6 Ni9 Hg3 F36'
_cell_length_a 7.1410
_cell_length_b 7.1410
_cell_length_c 16.6952
_cell_angle_alpha 90.00
_cell_angle_beta 90.00
_cell_angle_gamma 120.00
_space_group_name_H-M_alt 'R -3 m'
_space_group_IT_number 166
_space_group_name_Hall '-R 3 2"'
loop_
_atom_site_label
_atom_site_type_symbol
_atom_site_fract_x
_atom_site_fract_y
_atom_site_fract_z
Sr1 Sr 0.0000 0.0000 0.1145
Ni1 Ni 0.0000 0.5000 0.0000
Hg1 Hg 0.0000 0.0000 0.5000
F1 F 0.0475 0.5238 0.3036
F2 F 0.0523 0.5262 0.8794
```